Arrangement a

# CdI2F

CdI2F after structural relaxation (PBE, Alexandria).

Lattice parameters (Å, degrees): 7.0326 7.0326 7.5484 62.24 62.24 90.00
Closest atoms and distances in Å follow each position.
Positions (direct):
I (0.6270, 0.1250, 0.2500)  2 Cd 2.85, 2 F 2.87
I (0.8750, 0.8770, 0.7500)  2 Cd 2.85, 2 F 2.87
I (0.1230, 0.6250, 0.2500)  2 Cd 2.85, 2 F 2.87
I (0.3750, 0.3730, 0.7500)  2 Cd 2.85, 2 F 2.87
Cd (0.0000, 0.0000, 0.0000)  4 I 2.85
Cd (0.7500, 0.2500, 0.5000)  4 I 2.85
F (0.2500, 0.7500, 0.5000)  4 I 2.87
F (0.5000, 0.5000, 0.0000)  4 I 2.87

Properties
- spin magnetization (μB/f.u.) = 1.0

***

Arrangement b

# CdI2F

CdI2F after structural relaxation (PBE, Alexandria).

Lattice parameters (Å, degrees): 5.1802 5.1802 5.1802 60.00 60.00 60.00
Closest atoms and distances in Å follow each position.
Positions (direct):
Cd (0.5000, 0.5000, 0.5000)  8 I 3.17
I (0.2500, 0.2500, 0.2500)  4 Cd 3.17, 4 F 3.17
I (0.7500, 0.7500, 0.7500)  4 Cd 3.17, 4 F 3.17
F (0.0000, 0.0000, 0.0000)  8 I 3.17

Properties
- spin magnetization (μB/f.u.) = 0.0

***

Stability, highest: arrangement a

***

Arrangement a

# CdIN2F

CdIN2F after structural relaxation (PBE, Alexandria).

Lattice parameters (Å, degrees): 4.8974 4.8974 4.4365 90.00 90.00 90.00
Closest atoms and distances in Å follow each position.
Positions (direct):
F (0.0000, 0.0000, 0.0000)  2 I 2.22, 4 N 2.45
N (0.5000, 0.0000, 0.0000)  2 F 2.45
N (0.0000, 0.5000, 0.0000)  2 F 2.45
I (0.0000, 0.0000, 0.5000)  2 F 2.22
Cd (0.5000, 0.5000, 0.5000)  8 N 3.30, 4 I 3.46

Properties
- spin magnetization (μB/f.u.) = 4.8

***

Arrangement b

# CdIN2F

CdIN2F after structural relaxation (PBE, Alexandria).

Lattice parameters (Å, degrees): 4.1482 4.1482 4.5541 90.00 90.00 90.00
Closest atoms and distances in Å follow each position.
Positions (direct):
N (0.0000, 0.5000, 0.0000)  2 I 2.07
N (0.5000, 0.0000, 0.0000)  2 I 2.07
I (0.0000, 0.0000, 0.0000)  4 N 2.07, 2 F 2.28
Cd (0.5000, 0.5000, 0.5000)  4 F 2.93, 8 N 3.08
F (0.0000, 0.0000, 0.5000)  2 I 2.28

Properties
- spin magnetization (μB/f.u.) = 0.3

***

Stability, highest: arrangement b